# 1
A geometry-optimized ZnIn2Si structure, computed with GGA-PBE.

Calculated values
The value obtained for the offset from the most stable computed form is 84 meV/atom. The size of the total moment is 0.000 μB/f.u.

Cell: 6.142 6.142 6.142 Å, 150.74 130.30 58.72°
Fractional coordinates of all 4 atoms:
Zn1 0.721 0.221 0.500
Si1 0.525 0.525 0.000
In1 0.276 0.776 0.500
In2 0.979 0.979 0.000

***

# 2
A geometry-optimized LaZr2W structure, computed with GGA-PBE.

Calculated values
The value obtained for the offset from the most stable computed form is 354 meV/atom. For the formation energy, the calculation gives 529.0 meV/atom. The size of the total moment is 0.000 μB/f.u.

Cell: 5.654 5.654 5.654 Å, 134.31 134.31 66.61°
Fractional coordinates of all 4 atoms:
W1 0.750 0.250 0.500
Zr1 0.000 0.000 0.000
Zr2 0.250 0.750 0.500
La1 0.500 0.500 0.000

***

# 3
A geometry-optimized YTh2RhN4 structure, computed with GGA-PBE.

Calculated values
The size of the total moment is 0.000 μB/f.u. As for the electronic total energy: -8.82 eV per atom.

Cell: 3.454 6.256 12.043 Å, 90.00 90.00 106.03°
Fractional coordinates of all 16 atoms:
Th1 0.630 0.260 0.443
Th2 0.370 0.740 0.557
Th3 0.630 0.260 0.057
Th4 0.370 0.740 0.943
N1 0.000 0.000 0.500
N2 0.278 0.556 0.123
N3 0.465 0.930 0.750
N4 0.000 0.000 0.000
N5 0.722 0.444 0.623
N6 0.278 0.556 0.377
N7 0.722 0.444 0.877
N8 0.535 0.070 0.250
Rh1 0.852 0.704 0.750
Rh2 0.148 0.296 0.250
Y1 0.885 0.770 0.250
Y2 0.115 0.230 0.750